--- P ---
# Hf3ReSi

An optimized crystal structure of Hf3ReSi (PBE, the Alexandria database).

a b c (Å): 4.7738 4.7738 4.7738
angles (deg): 90.00 90.00 90.00
Closest atoms and distances in Å follow each position.
Space group Pm-3m (No. 221)
Unique sites:
Hf 0.0000 0.0000 0.5000 x3  2 Si 2.39
Re 0.5000 0.5000 0.5000 x1  12 Hf 3.38
Si 0.0000 0.0000 0.0000 x1  6 Hf 2.39

- M_tot (μB per formula unit) = 0.0
- mass density (Mg/m³) = 11.44



--- Q ---
# Hf3ReSi

An optimized crystal structure of Hf3ReSi (PBE, the Alexandria database).

a b c (Å): 4.9881 4.9881 4.9881
angles (deg): 90.00 90.00 90.00
Closest atoms and distances in Å follow each position.
Space group Pm-3m (No. 221)
Unique sites:
Hf 0.0000 0.0000 0.5000 x3  2 Re 2.49
Re 0.0000 0.0000 0.0000 x1  6 Hf 2.49
Si 0.5000 0.5000 0.5000 x1  12 Hf 3.53

- M_tot (μB per formula unit) = 0.0
- mass density (Mg/m³) = 10.03



Relative energy table, unit kJ/mol of atoms: P 0.0; Q 5.1



--- P ---
# HfReSi3

An optimized crystal structure of HfReSi3 (PBE, the Alexandria database).

a b c (Å): 4.7796 4.7796 4.7796
angles (deg): 90.00 90.00 90.00
Closest atoms and distances in Å follow each position.
Space group Pm-3m (No. 221)
Unique sites:
Hf 0.0000 0.0000 0.0000 x1  6 Si 2.39
Re 0.5000 0.5000 0.5000 x1  12 Si 3.38
Si 0.0000 0.0000 0.5000 x3  2 Hf 2.39

- M_tot (μB per formula unit) = 0.0
- mass density (Mg/m³) = 6.83



--- Q ---
# HfReSi3

An optimized crystal structure of HfReSi3 (PBE, the Alexandria database).

a b c (Å): 4.6455 4.6455 4.6455
angles (deg): 90.00 90.00 90.00
Closest atoms and distances in Å follow each position.
Space group Pm-3m (No. 221)
Unique sites:
Hf 0.0000 0.0000 0.0000 x1  12 Si 3.28
Re 0.5000 0.5000 0.5000 x1  6 Si 2.32
Si 0.0000 0.5000 0.5000 x3  2 Re 2.32

- M_tot (μB per formula unit) = 0.0
- mass density (Mg/m³) = 7.44



Relative energy table, unit kJ/mol of atoms: P 116.0; Q 0.0



--- P ---
# Hf3ReSn

An optimized crystal structure of Hf3ReSn (PBE, the Alexandria database).

a b c (Å): 5.0329 5.0329 5.0329
angles (deg): 90.00 90.00 90.00
Closest atoms and distances in Å follow each position.
Space group Pm-3m (No. 221)
Unique sites:
Hf 0.0000 0.0000 0.5000 x3  2 Re 2.52
Re 0.0000 0.0000 0.0000 x1  6 Hf 2.52
Sn 0.5000 0.5000 0.5000 x1  12 Hf 3.56

- M_tot (μB per formula unit) = 0.0
- mass density (Mg/m³) = 10.95



--- Q ---
# Hf3ReSn

An optimized crystal structure of Hf3ReSn (PBE, the Alexandria database).

a b c (Å): 5.0835 5.0835 5.0835
angles (deg): 90.00 90.00 90.00
Closest atoms and distances in Å follow each position.
Space group Pm-3m (No. 221)
Unique sites:
Hf 0.0000 0.0000 0.5000 x3  2 Sn 2.54
Re 0.5000 0.5000 0.5000 x1  12 Hf 3.59
Sn 0.0000 0.0000 0.0000 x1  6 Hf 2.54

- M_tot (μB per formula unit) = 0.0
- mass density (Mg/m³) = 10.62



Relative energy table, unit kJ/mol of atoms: P 0.0; Q 123.1